Computed, not measured: a geometry-optimized Rb2InTcCl6 structure at the GGA-PBE level of DFT.

Unit cell a=7.6096 b=7.6096 c=7.6096 alpha=60.00 beta=60.00 gamma=60.00
Closest atoms and distances in Å follow each position.
Fractional positions:
Rb1 0.2500 0.2500 0.2500  12 Cl 3.81
Rb2 0.7500 0.7500 0.7500  12 Cl 3.81
In1 0.0000 0.0000 0.0000  6 Cl 2.96
Tc1 0.5000 0.5000 0.5000  6 Cl 2.42
Cl1 0.2752 0.2752 0.7248  1 Tc 2.42
Cl2 0.2752 0.7248 0.2752  1 Tc 2.42
Cl3 0.2752 0.7248 0.7248  1 Tc 2.42
Cl4 0.7248 0.2752 0.2752  1 Tc 2.42
Cl5 0.7248 0.2752 0.7248  1 Tc 2.42
Cl6 0.7248 0.7248 0.2752  1 Tc 2.42

Summary:
As for the density of states at the Fermi level: 10.128 states/eV/f.u. The symmetry is Fm-3m, No. 225. For the formation energy without anion corrections, the calculation gives -1185 meV per atom.